1.
VASP calculation (PBEsol) on a relaxed MgCd2Se crystal.

Geometry as POSCAR:
```
MgCd2Se
1.0
5.003 0.000 0.000
2.502 4.333 0.000
2.502 1.444 4.085
Se Cd Mg
1 2 1
Direct
0.250 0.250 0.250 Se
0.750 0.750 0.750 Cd
0.000 0.000 0.000 Cd
0.500 0.500 0.500 Mg
```

## Properties
Energy relative to the elements, uncorrected ... -78 meV/atom


2.
VASP calculation (PBEsol) on a relaxed MgCdSe2 crystal.

Geometry as POSCAR:
```
MgCdSe2
1.0
-3.246 2.187 0.397
-1.292 -1.284 -3.486
-2.558 -4.254 2.516
Se Cd Mg
2 1 1
Direct
0.874 0.874 0.000 Se
0.374 0.374 0.500 Se
0.374 0.374 0.000 Cd
0.875 0.875 0.500 Mg
```

## Properties
Energy relative to the elements, uncorrected ... -851 meV/atom


3.
VASP calculation (PBEsol) on a relaxed MgCdSe2 crystal.

Geometry as POSCAR:
```
MgCdSe2
1.0
3.755 0.000 0.000
0.000 3.755 0.000
-1.878 -1.878 7.050
Se Mg Cd
2 1 1
Direct
0.000 0.000 0.000 Se
0.750 0.250 0.500 Se
0.250 0.750 0.500 Mg
0.500 0.500 0.000 Cd
```

## Properties
Energy relative to the elements, uncorrected ... -503 meV/atom


4.
VASP calculation (PBEsol) on a relaxed MgCd2Si crystal.

Geometry as POSCAR:
```
MgCd2Si
1.0
-1.158 -3.835 1.292
3.883 -0.674 1.478
-2.550 3.920 2.492
Mg Si Cd
1 1 2
Direct
0.500 0.500 0.000 Mg
0.000 0.000 0.000 Si
0.250 0.750 0.500 Cd
0.750 0.250 0.500 Cd
```

## Properties
Distance to the lowest polymorph of the same formula ... 0 meV/atom
Energy relative to the elements, uncorrected ... 98 meV/atom


5.
VASP calculation (PBEsol) on a relaxed MgCdSi crystal.

Geometry as POSCAR:
```
MgCdSi
1.0
-0.520 -2.249 1.955
-0.038 -1.979 -2.287
6.391 1.258 0.805
Si Cd Mg
1 1 1
Direct
0.328 0.328 0.657 Si
0.996 0.996 0.993 Cd
0.675 0.675 0.350 Mg
```

## Properties
Energy relative to the elements, uncorrected ... 134 meV/atom


6.
VASP calculation (PBEsol) on a relaxed MgCd2Si crystal.

Geometry as POSCAR:
```
MgCd2Si
1.0
-2.457 0.783 1.635
0.736 -2.085 2.105
4.530 5.710 4.073
Cd Si Mg
2 1 1
Direct
0.000 0.000 0.987 Cd
0.500 0.500 0.255 Cd
0.500 0.500 0.742 Si
0.000 0.000 0.516 Mg
```

## Properties
Distance to the lowest polymorph of the same formula ... 9 meV/atom
Energy relative to the elements, uncorrected ... 107 meV/atom


7.
VASP calculation (PBEsol) on a relaxed Sm2MgCd crystal.

Geometry as POSCAR:
```
Sm2MgCd
1.0
5.319 0.000 0.000
2.660 4.607 0.000
2.660 1.536 4.343
Mg Cd Sm
1 1 2
Direct
0.000 0.000 0.000 Mg
0.500 0.500 0.500 Cd
0.250 0.250 0.250 Sm
0.750 0.750 0.750 Sm
```

## Properties
Calculated formation energy ... -0.8 eV/f.u.


8.
VASP calculation (PBEsol) on a relaxed Mg6CdSn crystal.

Geometry as POSCAR:
```
Mg6CdSn
1.0
-2.753 -3.553 2.712
-1.871 -2.604 -5.310
5.257 -1.980 2.741
Mg Sn Cd
6 1 1
Direct
0.500 0.161 0.824 Mg
0.000 0.335 0.671 Mg
0.000 0.342 0.180 Mg
0.500 0.663 0.824 Mg
0.000 0.838 0.180 Mg
0.500 0.166 0.331 Mg
0.000 0.842 0.683 Sn
0.500 0.653 0.306 Cd
```

## Properties
Calculated formation energy ... -0.6 eV/f.u.


9.
VASP calculation (PBEsol) on a relaxed MgCdSn2 crystal.

Geometry as POSCAR:
```
MgCdSn2
1.0
5.137 0.000 0.000
2.569 4.449 0.000
2.569 1.483 4.194
Sn Cd Mg
2 1 1
Direct
0.750 0.750 0.750 Sn
0.250 0.250 0.250 Sn
0.500 0.500 0.500 Cd
0.000 0.000 0.000 Mg
```

## Properties
Calculated formation energy ... 0.0 eV/f.u.


10.
VASP calculation (PBEsol) on a relaxed Mg2Cd2Sn crystal.

Geometry as POSCAR:
```
Mg2Cd2Sn
1.0
3.329 0.000 0.000
0.000 8.174 0.000
0.000 0.000 8.174
Cd Sn Mg
4 2 4
Direct
0.000 0.625 0.125 Cd
0.000 0.875 0.625 Cd
0.000 0.125 0.375 Cd
0.000 0.375 0.875 Cd
0.000 0.500 0.500 Sn
0.000 0.000 0.000 Sn
0.500 0.674 0.826 Mg
0.500 0.174 0.674 Mg
0.500 0.326 0.174 Mg
0.500 0.826 0.326 Mg
```

## Properties
Calculated formation energy ... -0.3 eV/f.u.


11.
VASP calculation (PBEsol) on a relaxed Mg2Cd2Sn crystal.

Geometry as POSCAR:
```
Mg2Cd2Sn
1.0
4.224 0.000 0.000
0.000 4.224 0.000
-2.112 -2.112 6.627
Sn Mg Cd
1 2 2
Direct
0.000 0.000 0.000 Sn
0.750 0.250 0.500 Mg
0.250 0.750 0.500 Mg
0.398 0.398 0.796 Cd
0.602 0.602 0.204 Cd
```

## Properties
Calculated formation energy ... 0.4 eV/f.u.


12.
VASP calculation (PBEsol) on a relaxed Sr2MgCd crystal.

Geometry as POSCAR:
```
Sr2MgCd
1.0
-1.876 -2.830 1.960
2.514 -2.651 -1.422
5.393 1.321 7.070
Mg Sr Cd
1 2 1
Direct
0.500 0.500 0.697 Mg
0.000 0.000 0.947 Sr
0.500 0.500 0.312 Sr
0.000 0.000 0.544 Cd
```

## Properties
Distance to the lowest polymorph of the same formula ... 66 meV/atom
Calculated formation energy ... -0.5 eV/f.u.


13.
VASP calculation (PBEsol) on a relaxed Sr2MgCd2 crystal.

Geometry as POSCAR:
```
Sr2MgCd2
1.0
4.581 0.000 0.000
0.000 8.327 0.000
0.000 0.000 8.327
Cd Sr Mg
4 4 2
Direct
0.000 0.374 0.874 Cd
0.000 0.626 0.126 Cd
0.000 0.874 0.626 Cd
0.000 0.126 0.374 Cd
0.500 0.327 0.173 Sr
0.500 0.673 0.827 Sr
0.500 0.173 0.673 Sr
0.500 0.827 0.327 Sr
0.000 0.000 0.000 Mg
0.000 0.500 0.500 Mg
```

## Properties
Calculated formation energy ... -1.1 eV/f.u.


14.
VASP calculation (PBEsol) on a relaxed Sr2MgCd crystal.

Geometry as POSCAR:
```
Sr2MgCd
1.0
3.938 0.000 0.000
0.000 5.791 -0.263
-1.969 -2.537 5.978
Cd Mg Sr
1 1 2
Direct
0.524 0.518 0.048 Cd
0.209 0.714 0.419 Mg
0.984 0.981 0.969 Sr
0.782 0.286 0.564 Sr
```

## Properties
Distance to the lowest polymorph of the same formula ... 33 meV/atom
Calculated formation energy ... -0.6 eV/f.u.


15.
VASP calculation (PBEsol) on a relaxed SrMgCd crystal.

Geometry as POSCAR:
```
SrMgCd
1.0
3.982 0.000 0.000
0.000 5.096 0.000
0.000 -2.548 4.414
Sr Cd Mg
1 1 1
Direct
0.500 0.333 0.667 Sr
0.000 0.000 0.000 Cd
0.000 0.667 0.333 Mg
```

## Properties
Calculated formation energy ... -0.6 eV/f.u.


16.
VASP calculation (PBEsol) on a relaxed Sr2MgCd crystal.

Geometry as POSCAR:
```
Sr2MgCd
1.0
4.068 0.000 0.000
0.000 5.711 0.000
0.000 0.000 5.712
Cd Sr Mg
1 2 1
Direct
0.500 0.376 0.000 Cd
0.000 0.876 0.000 Sr
0.000 0.375 0.500 Sr
0.500 0.874 0.500 Mg
```

## Properties
Distance to the lowest polymorph of the same formula ... 0 meV/atom
Calculated formation energy ... -0.7 eV/f.u.


17.
VASP calculation (PBEsol) on a relaxed SrMg3Cd crystal.

Geometry as POSCAR:
```
SrMg3Cd
1.0
6.457 0.000 0.000
0.000 6.457 0.000
0.000 0.000 6.457
Mg Sr Cd
3 1 1
Direct
0.000 0.000 0.500 Mg
0.500 0.000 0.000 Mg
0.000 0.500 0.000 Mg
0.000 0.000 0.000 Sr
0.500 0.500 0.500 Cd
```

## Properties
Calculated formation energy ... 5.1 eV/f.u.


18.
VASP calculation (PBEsol) on a relaxed SrMgCd2 crystal.

Geometry as POSCAR:
```
SrMgCd2
1.0
-0.012 -2.881 2.243
-0.650 -2.205 -2.836
7.594 -0.864 -1.070
Cd Sr Mg
2 1 1
Direct
0.000 0.000 0.207 Cd
0.000 0.000 0.793 Cd
0.500 0.500 0.500 Sr
0.500 0.500 0.000 Mg
```

## Properties
Calculated formation energy ... -0.8 eV/f.u.


19.
VASP calculation (PBEsol) on a relaxed SrMgCd crystal.

Geometry as POSCAR:
```
SrMgCd
1.0
3.774 0.000 0.000
0.000 3.774 0.000
-1.887 -1.887 6.060
Sr Mg Cd
1 1 1
Direct
0.660 0.660 0.319 Sr
0.362 0.362 0.725 Mg
0.978 0.978 0.956 Cd
```

## Properties
Calculated formation energy ... -0.5 eV/f.u.


20.
VASP calculation (PBEsol) on a relaxed Sr2MgCd crystal.

Geometry as POSCAR:
```
Sr2MgCd
1.0
5.720 0.000 0.000
2.860 4.954 0.000
2.860 1.651 4.671
Sr Cd Mg
2 1 1
Direct
0.250 0.250 0.250 Sr
0.750 0.750 0.750 Sr
0.500 0.500 0.500 Cd
0.000 0.000 0.000 Mg
```

## Properties
Distance to the lowest polymorph of the same formula ... 2 meV/atom
Calculated formation energy ... -0.7 eV/f.u.